Entry 1:
A plane-wave DFT calculation with PBE was carried out for a relaxed structure of BaB2S.

## Properties
Energy in eV/atom: -4.43

Lattice parameters (Å, degrees): 4.147 4.147 8.899 76.53 76.53 90.00
Sites, in units of the cell vectors:
S  0.500  0.500  0.000
S  0.250  0.750  0.500
B  0.375  0.125  0.250
B  0.375  0.625  0.250
B  0.375  0.625  0.750
B  0.875  0.625  0.750
Ba  0.000  0.000  0.000
Ba  0.750  0.250  0.500

Entry 2:
A plane-wave DFT calculation with PBE was carried out for a relaxed structure of Rb2PmCuBr6.

## Properties
Energy in eV/atom: -3.57

Lattice parameters (Å, degrees): 8.288 8.894 10.000 90.00 89.71 90.00
Sites, in units of the cell vectors:
Rb  0.019  0.921  0.252
Rb  0.519  0.579  0.752
Rb  0.981  0.079  0.748
Rb  0.481  0.421  0.248
Pm  0.500  0.000  0.000
Pm  0.000  0.500  0.500
Cu  0.500  0.000  0.500
Cu  0.000  0.500  0.000
Br  0.324  0.728  0.047
Br  0.824  0.772  0.547
Br  0.676  0.272  0.953
Br  0.176  0.228  0.453
Br  0.284  0.674  0.453
Br  0.784  0.826  0.953
Br  0.716  0.326  0.547
Br  0.216  0.174  0.047
Br  0.906  0.527  0.216
Br  0.406  0.973  0.716
Br  0.094  0.473  0.784
Br  0.594  0.027  0.284

Entry 3:
A plane-wave DFT calculation with PBE was carried out for a relaxed structure of ErNiHg.

## Properties
E_form in kJ/mol of formula units: -90

Lattice parameters (Å, degrees): 3.436 4.524 4.524 120.00 90.00 90.00
Sites, in units of the cell vectors:
Ni  0.166  0.333  0.667
Hg  0.167  0.000  0.000
Er  0.667  0.667  0.333

Entry 4:
A plane-wave DFT calculation with PBE was carried out for a relaxed structure of SiAsHSe2.

## Properties
ΔE to the lowest computed polymorph in eV/atom: 0.000

Lattice parameters (Å, degrees): 4.957 4.957 3.437 90.00 90.00 90.00
Sites, in units of the cell vectors:
H  0.000  0.000  0.000
As  0.000  0.000  0.500
Si  0.500  0.500  0.500
Se  0.000  0.500  0.000
Se  0.500  0.000  0.000